No. 1
First-principles (PBE-GGA) data for a relaxed Na3SbBr crystal, as listed in the Alexandria database.

It has space group Pm-3m (No. 221), with a = 5.453 Å, b = 5.453 Å, c = 5.453 Å, α = 90.00°, β = 90.00° and γ = 90.00°. The inequivalent atoms are Na at (0.000, 0.000, 0.500), Sb at (0.500, 0.500, 0.500) and Br at (0.000, 0.000, 0.000).

As for the polymorph energy (0 for the lowest one): 0 meV/atom. The calculation puts the uncorrected formation energy at -13.29 kcal/mol of atoms. Its density of states at the Fermi level is 1.7 states/eV per cell. The calculated total energy comes out at -12.6 eV/cell.

No. 2
First-principles (PBE-GGA) data for a relaxed Nd12TlCo5 crystal, as listed in the Alexandria database.

It has space group Immm (No. 71), with a = 9.801 Å, b = 9.895 Å, c = 10.096 Å, α = 90.00°, β = 90.00° and γ = 90.00°. The inequivalent atoms are Nd at (0.000, 0.191, 0.199), Nd at (0.193, 0.500, 0.184), Nd at (0.200, 0.315, 0.500), Tl at (0.000, 0.000, 0.500), Co at (0.000, 0.000, 0.000), Co at (0.000, 0.381, 0.000) and Co at (0.000, 0.500, 0.388).

Its formation enthalpy at 0 K is -0.122 eV per atom. Its density of states at the Fermi level is 30.7 states/eV per cell. The calculated total energy comes out at -194.6 eV/cell.

No. 3
First-principles (PBE-GGA) data for a relaxed LiEuCdPt crystal, as listed in the Alexandria database.

It has space group F-43m (No. 216), with a = 6.953 Å, b = 6.953 Å, c = 6.953 Å, α = 90.00°, β = 90.00° and γ = 90.00°. The inequivalent atoms are Li at (0.000, 0.000, 0.000), Eu at (0.250, 0.250, 0.750), Cd at (0.250, 0.250, 0.250) and Pt at (0.000, 0.000, 0.500).

Its formation enthalpy at 0 K is -0.508 eV per atom. Its density of states at the Fermi level is 26.7 states/eV per cell. The calculated total energy comes out at -84.7 eV/cell.

No. 4
First-principles (PBE-GGA) data for a relaxed CaTlZn2 crystal, as listed in the Alexandria database.

It has space group Cm (No. 8), with a = 7.739 Å, b = 4.456 Å, c = 6.105 Å, α = 90.00°, β = 114.77° and γ = 90.00°. The inequivalent atoms are Ca at (0.000, 0.000, 0.000), Tl at (0.211, 0.000, 0.636), Zn at (0.285, 0.500, 0.356) and Zn at (0.449, 0.000, 0.347).

Its formation enthalpy at 0 K is -0.180 eV per atom. Its density of states at the Fermi level is 4.3 states/eV per cell. The calculated total energy comes out at -15.3 eV/cell.

No. 5
First-principles (PBE-GGA) data for a relaxed Cu2PF crystal, as listed in the Alexandria database.

It has space group Fm-3m (No. 225), with a = 5.781 Å, b = 5.781 Å, c = 5.781 Å, α = 90.00°, β = 90.00° and γ = 90.00°. The inequivalent atoms are Cu at (0.250, 0.250, 0.250), P at (0.000, 0.000, 0.000) and F at (0.000, 0.000, 0.500).

As for the polymorph energy (0 for the lowest one): 210 meV/atom. The calculation puts the uncorrected formation energy at -4.21 kcal/mol of atoms. Its density of states at the Fermi level is 17.3 states/eV per cell. The calculated total energy comes out at -64.8 eV/cell.

No. 6
First-principles (PBE-GGA) data for a relaxed LiCuAs2 crystal, as listed in the Alexandria database.

It has space group I-4m2 (No. 119), with a = 3.792 Å, b = 3.792 Å, c = 8.760 Å, α = 90.00°, β = 90.00° and γ = 90.00°. The inequivalent atoms are Li at (0.000, 0.000, 0.000), Cu at (0.000, 0.500, 0.250), As at (0.000, 0.000, 0.500) and As at (0.000, 0.500, 0.750).

As for the polymorph energy (0 for the lowest one): 116 meV/atom. Its formation enthalpy at 0 K is -0.076 eV per atom. Its density of states at the Fermi level is 3.7 states/eV per cell. The calculated total energy comes out at -31.2 eV/cell.

No. 7
First-principles (PBE-GGA) data for a relaxed Cs2Hg2PbS4 crystal, as listed in the Alexandria database.

It has space group C2/m (No. 12), with a = 16.685 Å, b = 4.360 Å, c = 8.197 Å, α = 90.00°, β = 109.11° and γ = 90.00°. The inequivalent atoms are Cs at (0.128, 0.000, 0.049), Hg at (0.163, 0.500, 0.487), Pb at (0.000, 0.000, 0.500), S at (0.020, 0.500, 0.261) and S at (0.205, 0.000, 0.673).

The calculation puts the uncorrected formation energy at -13.92 kcal/mol of atoms. The calculated total energy comes out at -55.9 eV/cell.

No. 8
First-principles (PBE-GGA) data for a relaxed K3BaIr crystal, as listed in the Alexandria database.

It has space group Pm-3m (No. 221), with a = 7.256 Å, b = 7.256 Å, c = 7.256 Å, α = 90.00°, β = 90.00° and γ = 90.00°. The inequivalent atoms are K at (0.000, 0.000, 0.500), Ba at (0.000, 0.000, 0.000) and Ir at (0.500, 0.500, 0.500).

As for the polymorph energy (0 for the lowest one): 1037 meV/atom. Its formation enthalpy at 0 K is 1.755 eV per atom. Its density of states at the Fermi level is 37.7 states/eV per cell. The calculated total energy comes out at -5.3 eV/cell.